A relaxed CoSeBrN2 crystal, computed with PBE.

Unit cell a=3.724 b=3.724 c=7.506 alpha=90.00 beta=90.00 gamma=90.00
Positions (direct):
Co 0.000 0.000 0.000
Se 0.500 0.500 0.000
Br 0.500 0.500 0.500
N 0.000 0.500 0.500
N 0.500 0.000 0.500

Calculated volume in Å³ per atom: 20.818
Crystal system: tetragonal
Uncorrected formation energy in meV per atom: 2218
E_tot in eV per atom: -3.5646

A relaxed Sm8Co3Br3N crystal, computed with PBE.

Unit cell a=7.814 b=7.814 c=8.849 alpha=116.22 beta=116.22 gamma=59.90
Positions (direct):
Sm 0.220 0.744 0.682
Sm 0.221 0.221 0.683
Sm 0.256 0.780 0.318
Sm 0.269 0.269 0.307
Sm 0.731 0.731 0.693
Sm 0.744 0.220 0.682
Sm 0.779 0.779 0.317
Sm 0.780 0.256 0.318
Co 0.000 0.500 0.500
Co 0.500 0.000 0.500
Co 0.500 0.500 0.500
Br 0.000 0.000 0.000
Br 0.000 0.500 0.000
Br 0.500 0.000 0.000
N 0.000 0.000 0.500

Calculated volume in Å³ per atom: 26.809
Crystal system: monoclinic
Uncorrected formation energy in meV per atom: -695
E_tot in eV per atom: -5.5225